Record 1
# AcSiSb2 (PBE-GGA, optimized geometry)
data_AcSiSb2
_chemical_formula_sum 'Ac1 Si1 Sb2'
_space_group_name_H-M_alt 'P 4/m m m'
_space_group_IT_number 123
_space_group_name_Hall '-P 4 2'
_cell_length_a 4.7264
_cell_length_b 4.7264
_cell_length_c 4.8883
_cell_angle_alpha 90.00
_cell_angle_beta 90.00
_cell_angle_gamma 90.00
loop_
_atom_site_label
_atom_site_type_symbol
_atom_site_fract_x
_atom_site_fract_y
_atom_site_fract_z
Ac1 Ac 0.0000 0.0000 0.0000
Si1 Si 0.5000 0.5000 0.0000
Sb1 Sb 0.0000 0.5000 0.5000
# ΔE_f (raw) in eV per atom: -0.334
# M_tot in Bohr magnetons per cell: 0.00
# Relative energy among the computed polymorphs in eV per atom: 0.000
# Crystal system: tetragonal

***

Record 2
# MgIn3Rh (PBE-GGA, optimized geometry)
data_MgIn3Rh
_chemical_formula_sum 'Mg4 In12 Rh4'
_space_group_name_H-M_alt 'C m c m'
_space_group_IT_number 63
_space_group_name_Hall '-C 2c 2'
_cell_length_a 4.2500
_cell_length_b 9.2579
_cell_length_c 10.9941
_cell_angle_alpha 90.00
_cell_angle_beta 90.00
_cell_angle_gamma 90.00
loop_
_atom_site_label
_atom_site_type_symbol
_atom_site_fract_x
_atom_site_fract_y
_atom_site_fract_z
Mg1 Mg 0.0000 0.0000 0.0000
In1 In 0.0000 0.3071 0.1065
In2 In 0.0000 0.3816 0.7500
Rh1 Rh 0.0000 0.0742 0.7500
# M_tot in Bohr magnetons per cell: 0.00
# Relative energy among the computed polymorphs in eV per atom: 0.000
# Crystal system: orthorhombic

***

Record 3
# K2Cd12GeAu3 (PBE-GGA, optimized geometry)
data_K2Cd12GeAu3
_chemical_formula_sum 'K6 Cd36 Ge3 Au9'
_space_group_name_H-M_alt 'R -3 m'
_space_group_IT_number 166
_space_group_name_Hall '-R 3 2"'
_cell_length_a 7.5733
_cell_length_b 7.5733
_cell_length_c 30.0774
_cell_angle_alpha 90.00
_cell_angle_beta 90.00
_cell_angle_gamma 120.00
loop_
_atom_site_label
_atom_site_type_symbol
_atom_site_fract_x
_atom_site_fract_y
_atom_site_fract_z
K1 K 0.0000 0.0000 0.1530
Cd1 Cd 0.0500 0.5250 0.0951
Cd2 Cd 0.0683 0.5341 0.6190
Ge1 Ge 0.0000 0.0000 0.5000
Au1 Au 0.0000 0.5000 0.0000
# Raw total energy in eV/atom: -1.530
# M_tot in Bohr magnetons per cell: 0.00
# Crystal system: trigonal

***

Record 4
# PuMgTl2 (PBE-GGA, optimized geometry)
data_PuMgTl2
_chemical_formula_sum 'Pu1 Mg1 Tl2'
_space_group_name_H-M_alt 'P 4/m m m'
_space_group_IT_number 123
_space_group_name_Hall '-P 4 2'
_cell_length_a 3.5992
_cell_length_b 3.5992
_cell_length_c 7.9444
_cell_angle_alpha 90.00
_cell_angle_beta 90.00
_cell_angle_gamma 90.00
loop_
_atom_site_label
_atom_site_type_symbol
_atom_site_fract_x
_atom_site_fract_y
_atom_site_fract_z
Pu1 Pu 0.0000 0.0000 0.0000
Mg1 Mg 0.0000 0.0000 0.5000
Tl1 Tl 0.5000 0.5000 0.2740
# Raw total energy in eV/atom: -5.212
# M_tot in Bohr magnetons per cell: 6.00
# Crystal system: tetragonal

***

Record 5
# ZnCoTe2 (PBE-GGA, optimized geometry)
data_ZnCoTe2
_chemical_formula_sum 'Zn3 Co3 Te6'
_space_group_name_H-M_alt 'R -3 m'
_space_group_IT_number 166
_space_group_name_Hall '-R 3 2"'
_cell_length_a 3.8797
_cell_length_b 3.8797
_cell_length_c 23.5564
_cell_angle_alpha 90.00
_cell_angle_beta 90.00
_cell_angle_gamma 120.00
loop_
_atom_site_label
_atom_site_type_symbol
_atom_site_fract_x
_atom_site_fract_y
_atom_site_fract_z
Zn1 Zn 0.0000 0.0000 0.0000
Co1 Co 0.0000 0.0000 0.5000
Te1 Te 0.0000 0.0000 0.1127
# ΔE_f (raw) in eV per atom: 0.023
# M_tot in Bohr magnetons per cell: 0.00
# Crystal system: trigonal

***

Record 6
# CeDyOs (PBE-GGA, optimized geometry)
data_CeDyOs
_chemical_formula_sum 'Ce4 Dy4 Os4'
_space_group_name_H-M_alt 'F -4 3 m'
_space_group_IT_number 216
_space_group_name_Hall 'F -4 2 3'
_cell_length_a 6.7961
_cell_length_b 6.7961
_cell_length_c 6.7961
_cell_angle_alpha 90.00
_cell_angle_beta 90.00
_cell_angle_gamma 90.00
loop_
_atom_site_label
_atom_site_type_symbol
_atom_site_fract_x
_atom_site_fract_y
_atom_site_fract_z
Ce1 Ce 0.0000 0.0000 0.0000
Dy1 Dy 0.0000 0.0000 0.5000
Os1 Os 0.2500 0.2500 0.7500
# M_tot in Bohr magnetons per cell: 2.38
# Relative energy among the computed polymorphs in eV per atom: 0.115
# Crystal system: cubic